VASP calculation (PBE) on crystalline NaLi7Si5 at its relaxed geometry.

N(E_F) = 4.1 states/eV/f.u.
Raw formation energy = -0.1106 eV per atom
Size of the total moment = 0.000 μB per formula unit

```
13
Lattice="-2.7838 4.3618 4.4617 2.7838 -4.3618 4.4617 2.7838 4.3618 -4.4617" Properties=species:S:1:pos:R:3 pbc="T T T"
Na 0.0000 0.0000 0.0000
Li 2.7838 1.7626 -0.1019
Li 2.7838 -1.4802 4.1145
Li 0.0000 0.0000 3.1123
Li 2.7838 1.4802 4.1145
Li 0.0000 0.0000 6.0836
Li 0.0000 4.3618 2.1695
Li 0.0000 2.5992 4.3599
Si 2.7838 0.0000 1.9050
Si -1.1890 2.0845 1.9866
Si 1.1890 2.0845 1.9866
Si -1.1890 6.6391 1.9866
Si 1.1890 6.6391 1.9866
```



VASP calculation (PBE) on crystalline NaSr2LiSi at its relaxed geometry.

N(E_F) = 1.9 states/eV/f.u.
Raw formation energy = -0.0729 eV per atom
Size of the total moment = 0.000 μB per formula unit

```
5
Lattice="6.1702 0.0000 0.0000 0.0000 6.1702 0.0000 0.0000 0.0000 5.0601" Properties=species:S:1:pos:R:3 pbc="T T T"
Na 0.0000 0.0000 0.0000
Sr 0.0000 3.0851 2.5301
Sr 3.0851 0.0000 2.5301
Li 3.0851 3.0851 0.0000
Si 3.0851 3.0851 2.5301
```